[1]
## TaCuMo2 (PBE)

Data for an optimized crystal structure of TaCuMo2.

a b c (Å): 5.161 5.161 5.161
angles (deg): 142.65 130.15 63.91
Atoms (fractional coordinates):
1 Ta 0.750 0.250 0.500
2 Mo 0.996 0.996 0.000
3 Cu 0.250 0.750 0.500
4 Mo 0.504 0.504 0.000

Summary:
**DOS at the Fermi energy**: 1.062 states/eV/atom
**ΔH_f (0 K)**: 0.20 eV/atom
**Space-group type**: Immm (71)
**Energy above the most stable polymorph in this dataset**: 0.133 eV/atom
**Final energy**: -9.200 eV/atom

=====

[2]
## InCu2Te (PBE)

Data for an optimized crystal structure of InCu2Te.

a b c (Å): 4.042 3.919 5.264
angles (deg): 68.87 90.00 90.00
Atoms (fractional coordinates):
1 Cu 0.500 0.045 0.280
2 Te 0.500 0.775 0.841
3 Cu 0.000 0.199 0.972
4 In 0.000 0.481 0.407

Summary:
**DOS at the Fermi energy**: 0.389 states/eV/atom
**Raw formation energy**: 5.2 kJ per mole of atoms
**Space-group type**: Pm (6)
**Energy above the most stable polymorph in this dataset**: 0.000 eV/atom
**Final energy**: -3.464 eV/atom

=====

[3]
## ZnSbP2O (PBE)

Data for an optimized crystal structure of ZnSbP2O.

a b c (Å): 5.135 5.135 3.891
angles (deg): 90.00 90.00 90.00
Atoms (fractional coordinates):
1 Zn 0.500 0.500 0.500
2 Sb 0.000 0.000 0.000
3 P 0.000 0.500 0.000
4 P 0.500 0.000 0.000
5 O 0.000 0.000 0.500

Summary:
**DOS at the Fermi energy**: 0.546 states/eV/atom
**Raw formation energy**: 46.4 kJ per mole of atoms
**Space-group type**: P4/mmm (123)
**Energy above the most stable polymorph in this dataset**: 0.116 eV/atom
**Final energy**: -3.754 eV/atom

=====

[4]
## SrMg3 (PBE)

Data for an optimized crystal structure of SrMg3.

a b c (Å): 5.599 5.599 13.359
angles (deg): 146.49 146.49 37.58
Atoms (fractional coordinates):
1 Sr 0.000 0.000 0.000
2 Mg 0.000 0.000 0.500
3 Mg 0.059 0.059 0.299
4 Mg 0.941 0.941 0.701

Summary:
**DOS at the Fermi energy**: 0.610 states/eV/atom
**ΔH_f (0 K)**: 0.05 eV/atom
**Space-group type**: C2/m (12)
**Final energy**: -1.562 eV/atom

=====

[5]
## RbScMo3 (PBE)

Data for an optimized crystal structure of RbScMo3.

a b c (Å): 4.730 4.730 4.730
angles (deg): 90.00 90.00 90.00
Each line ends with the local moment (μB).
Atoms (fractional coordinates):
1 Mo 0.000 0.000 0.500  0.56
2 Mo 0.000 0.500 0.000  0.49
3 Sc 0.500 0.500 0.500  0.17
4 Rb 0.000 0.000 0.000  -0.01
5 Mo 0.500 0.000 0.000  0.38

Summary:
**DOS at the Fermi energy**: 1.488 states/eV/atom
**ΔH_f (0 K)**: 2.83 eV/atom
**Space-group type**: Pm-3m (221)
**Energy above the most stable polymorph in this dataset**: 0.520 eV/atom
**Final energy**: -5.126 eV/atom

=====

[6]
## MgHS2Cl (PBE)

Data for an optimized crystal structure of MgHS2Cl.

a b c (Å): 3.734 3.734 5.639
angles (deg): 90.00 90.00 90.00
Atoms (fractional coordinates):
1 S 0.500 0.000 0.000
2 Cl 0.000 0.000 0.500
3 H 0.000 0.000 0.000
4 Mg 0.500 0.500 0.500
5 S 0.000 0.500 0.000

Summary:
**DOS at the Fermi energy**: 0.155 states/eV/atom
**Space-group type**: P4/mmm (123)
**Energy above the most stable polymorph in this dataset**: 0.000 eV/atom
**Final energy**: -3.087 eV/atom

=====

Number 4 is which compound?
SrMg3

=====

Which of these has the lowest final energy?
TaCuMo2

=====

Which formula does entry 3 have?
ZnSbP2O

=====

What is the DOS at the Fermi energy in the third record?
0.546 states/eV/atom